Below is a relaxed structure of KScMn2, with properties calculated at the GGA-PBE level.

Lattice parameters (Å, degrees): 3.057 4.501 7.577 90.00 101.37 90.00
Space group Pm (No. 6)
Inequivalent atoms, fractional coordinates:
K1 0.000 0.000 0.000 [1 per cell]
Sc1 0.297 0.500 0.608 [1 per cell]
Mn1 0.650 0.500 0.304 [1 per cell]
Mn2 0.734 0.000 0.480 [1 per cell]

Results
Total magnetization: 6.128 μB/cell
Volume: 102 Å³ per cell
Energy relative to the lowest polymorph listed for this composition: 249.7 meV per atom
ΔE_f: 0.6918 eV/atom

---

Below is a relaxed structure of La3PmAl, with properties calculated at the GGA-PBE level.

Lattice parameters (Å, degrees): 3.704 9.375 9.761 76.17 79.13 89.98
Space group P-1 (No. 2)
Inequivalent atoms, fractional coordinates:
La1 0.001 0.323 0.495 [2 per cell]
La2 0.189 0.363 0.125 [2 per cell]
La3 0.207 0.843 0.088 [2 per cell]
Pm1 0.407 0.969 0.680 [2 per cell]
Al1 0.379 0.424 0.740 [2 per cell]

Results
Total magnetization: 0.000 μB/cell
Volume: 323 Å³ per cell
Energy relative to the lowest polymorph listed for this composition: 0.0 meV per atom
ΔE_f: -0.1204 eV/atom

---

Below is a relaxed structure of Y6ErTh3, with properties calculated at the GGA-PBE level.

Lattice parameters (Å, degrees): 13.206 3.500 14.272 90.00 97.61 90.00
Space group P2_1/m (No. 11)
Inequivalent atoms, fractional coordinates:
Y1 0.064 0.250 0.098 [2 per cell]
Y2 0.123 0.250 0.499 [2 per cell]
Y3 0.224 0.250 0.296 [2 per cell]
Y4 0.256 0.750 0.705 [2 per cell]
Y5 0.373 0.750 0.480 [2 per cell]
Y6 0.425 0.250 0.900 [2 per cell]
Er1 0.315 0.750 0.105 [2 per cell]
Th1 0.008 0.250 0.703 [2 per cell]
Th2 0.175 0.250 0.898 [2 per cell]
Th3 0.477 0.250 0.288 [2 per cell]

Results
Total magnetization: 0.000 μB/cell
Volume: 654 Å³ per cell
Energy relative to the lowest polymorph listed for this composition: 0.0 meV per atom
ΔE_f: 0.1016 eV/atom

---

Below is a relaxed structure of K3RuF, with properties calculated at the GGA-PBE level.

Lattice parameters (Å, degrees): 5.328 5.328 5.328 90.00 90.00 90.00
Space group Pm-3m (No. 221)
Inequivalent atoms, fractional coordinates:
K1 0.000 0.000 0.500 [3 per cell]
Ru1 0.500 0.500 0.500 [1 per cell]
F1 0.000 0.000 0.000 [1 per cell]

Results
Total magnetization: 2.001 μB/cell
Volume: 151 Å³ per cell
Energy relative to the lowest polymorph listed for this composition: 0.0 meV per atom

---

Below is a relaxed structure of PaC2BrO8, with properties calculated at the GGA-PBE level.

Lattice parameters (Å, degrees): 9.211 5.417 8.687 90.00 109.85 90.00
Space group C2/m (No. 12)
Inequivalent atoms, fractional coordinates:
Pa1 0.000 0.000 0.000 [2 per cell]
C1 0.226 0.500 0.198 [4 per cell]
Br1 0.000 0.000 0.500 [2 per cell]
O1 0.138 0.290 0.154 [8 per cell]
O2 0.156 0.000 0.865 [4 per cell]
O3 0.218 0.000 0.625 [4 per cell]

Results
Total magnetization: 0.415 μB/cell
Volume: 408 Å³ per cell
Total energy: -172.28 eV for the cell shown

---

Below is a relaxed structure of VZnC3, with properties calculated at the GGA-PBE level.

Lattice parameters (Å, degrees): 3.923 3.923 3.923 90.00 90.00 90.00
Space group Pm-3m (No. 221)
Inequivalent atoms, fractional coordinates:
V1 0.000 0.000 0.000 [1 per cell]
Zn1 0.500 0.500 0.500 [1 per cell]
C1 0.000 0.000 0.500 [3 per cell]

Results
Total magnetization: 0.000 μB/cell
Volume: 60 Å³ per cell
Energy relative to the lowest polymorph listed for this composition: 0.0 meV per atom
ΔE_f: 1.7850 eV/atom

---

Below is a relaxed structure of Tb2Ce2Sn7, with properties calculated at the GGA-PBE level.

Lattice parameters (Å, degrees): 9.076 10.917 7.209 90.00 90.00 90.00
Space group Cmmm (No. 65)
Inequivalent atoms, fractional coordinates:
Tb1 0.189 0.000 0.000 [4 per cell]
Ce1 0.000 0.286 0.500 [4 per cell]
Sn1 0.000 0.000 0.500 [2 per cell]
Sn2 0.000 0.500 0.199 [4 per cell]
Sn3 0.250 0.250 0.202 [8 per cell]

Results
Total magnetization: 2.965 μB/cell
Volume: 714 Å³ per cell
ΔE_f: -0.1602 eV/atom

---

Below is a relaxed structure of Rb2PuZn2Te4, with properties calculated at the GGA-PBE level.

Lattice parameters (Å, degrees): 16.666 4.598 8.678 90.00 108.20 90.00
Space group C2/m (No. 12)
Inequivalent atoms, fractional coordinates:
Rb1 0.130 0.000 0.057 [4 per cell]
Pu1 0.000 0.000 0.500 [2 per cell]
Zn1 0.169 0.500 0.485 [4 per cell]
Te1 0.017 0.500 0.259 [4 per cell]
Te2 0.205 0.000 0.668 [4 per cell]

Results
Total magnetization: 11.422 μB/cell
Volume: 632 Å³ per cell
Total energy: -77.08 eV for the cell shown

---

Below is a relaxed structure of Li6Tl3Ge, with properties calculated at the GGA-PBE level.

Lattice parameters (Å, degrees): 8.152 4.743 10.617 90.00 111.36 90.00
Space group P2_1/m (No. 11)
Inequivalent atoms, fractional coordinates:
Li1 0.028 0.250 0.405 [2 per cell]
Li2 0.127 0.750 0.157 [2 per cell]
Li3 0.148 0.250 0.741 [2 per cell]
Li4 0.196 0.250 0.018 [2 per cell]
Li5 0.361 0.750 0.780 [2 per cell]
Li6 0.448 0.250 0.613 [2 per cell]
Tl1 0.238 0.750 0.485 [2 per cell]
Tl2 0.329 0.250 0.310 [2 per cell]
Tl3 0.452 0.750 0.087 [2 per cell]
Ge1 0.087 0.750 0.869 [2 per cell]

Results
Total magnetization: 0.000 μB/cell
Volume: 382 Å³ per cell
ΔE_f: -0.2409 eV/atom

---

Below is a relaxed structure of Ba2SeI, with properties calculated at the GGA-PBE level.

Lattice parameters (Å, degrees): 4.109 4.109 8.385 90.00 90.00 90.00
Space group P4/mmm (No. 123)
Inequivalent atoms, fractional coordinates:
Ba1 0.000 0.000 0.223 [2 per cell]
Se1 0.500 0.500 0.000 [1 per cell]
I1 0.500 0.500 0.500 [1 per cell]

Results
Total magnetization: 0.483 μB/cell
Volume: 142 Å³ per cell
Energy relative to the lowest polymorph listed for this composition: 176.3 meV per atom

---

Below is a relaxed structure of KSn, with properties calculated at the GGA-PBE level.

Lattice parameters (Å, degrees): 9.9054 9.9054 6.0715 90.00 90.00 120.00
Space group P6_3/mmc (No. 194)
Inequivalent atoms, fractional coordinates:
K1 0.1865 0.3730 0.2500 [6 per cell]
Sn1 0.1336 0.5668 0.7500 [6 per cell]

Results
Total magnetization: 0.585 μB/cell
Volume: 516 Å³ per cell
ΔE_f: -0.1677 eV/atom

---

Below is a relaxed structure of Sr2NbPt, with properties calculated at the GGA-PBE level.

Lattice parameters (Å, degrees): 7.642 7.642 7.642 90.00 90.00 90.00
Space group Fm-3m (No. 225)
Inequivalent atoms, fractional coordinates:
Sr1 0.250 0.250 0.250 [8 per cell]
Nb1 0.000 0.000 0.000 [4 per cell]
Pt1 0.000 0.000 0.500 [4 per cell]

Results
Total magnetization: 18.763 μB/cell
Volume: 446 Å³ per cell
Energy relative to the lowest polymorph listed for this composition: 158.4 meV per atom
ΔE_f: 0.4227 eV/atom